1.
Here is a relaxed structure of Ba2BiCl from Alexandria. Energies are from PBE.

a b c (Å): 7.200 7.200 16.522
angles (deg): 90.00 90.00 90.00
Space group I-42d (No. 122)
Unique sites:
Ba  0.228  0.250  0.125 x8
Bi  0.000  0.000  0.500 x4
Cl  0.000  0.000  0.000 x4

## Properties
Raw formation energy = -1.298 eV/atom
Crystal system = tetragonal
Magnetic moment = 0.0 μB per formula unit



2.
Here is a relaxed structure of BaBi2Cl from Alexandria. Energies are from PBE.

a b c (Å): 8.211 8.211 8.211
angles (deg): 90.00 90.00 90.00
Space group Fm-3m (No. 225)
Unique sites:
Ba  0.000  0.000  0.000 x4
Bi  0.250  0.250  0.250 x8
Cl  0.000  0.000  0.500 x4

## Properties
Raw formation energy = -0.262 eV/atom
Crystal system = cubic
Polymorph energy (0 for the lowest one) = 729.5 meV/atom
Magnetic moment = 0.0 μB per formula unit



3.
Here is a relaxed structure of Ba2BiCl from Alexandria. Energies are from PBE.

a b c (Å): 5.992 5.992 4.191
angles (deg): 90.00 90.00 90.00
Space group P4/mmm (No. 123)
Unique sites:
Ba  0.000  0.500  0.000 x2
Bi  0.000  0.000  0.500 x1
Cl  0.500  0.500  0.500 x1

## Properties
Raw formation energy = -1.343 eV/atom
Crystal system = tetragonal
Magnetic moment = 0.0 μB per formula unit



4.
Here is a relaxed structure of Ba4Bi2Cl from Alexandria. Energies are from PBE.

a b c (Å): 5.833 5.833 18.692
angles (deg): 90.00 90.00 90.00
Space group I4/mmm (No. 139)
Unique sites:
Ba  0.000  0.000  0.184 x4
Ba  0.000  0.500  0.000 x4
Bi  0.000  0.000  0.370 x4
Cl  0.000  0.000  0.000 x2

## Properties
Raw formation energy = -1.069 eV/atom
Crystal system = tetragonal
Polymorph energy (0 for the lowest one) = 95.3 meV/atom
Magnetic moment = 0.0 μB per formula unit



Question: raw formation energy of number 1 (Ba2BiCl)?
Answer: -1.298 eV/atom



Question: Number 2 is which compound?
Answer: BaBi2Cl